VASP calculation (PBE with a Hubbard U) on crystalline TaMnRuO6 at its relaxed geometry.

The structure belongs to space group P4_2nm (No. 102); the cell edges are 4.729, 4.729 and 9.307 Å and the angles 90.00°, 90.00° and 90.00°. The asymmetric unit holds Ta at (0.000, 0.000, 0.000), Mn at (0.000, 0.000, 0.333), Ru at (0.000, 0.000, 0.666), O at (0.190, 0.190, 0.832), O at (0.201, 0.201, 0.508) and O at (0.206, 0.206, 0.155).

The value obtained for the total energy is -149.609 eV/cell. The calculation puts the total magnetization at 4.01 μB per cell. The volume comes out at 208 Å³/cell.